# FeAgIN2, PBEsol geometry, DFT meta-GGA SCAN
# - E above lowest polymorph (eV per atom) = 0.000
# - uncorrected formation energy (eV per atom) = 1.10
# - E (eV per cell) = -99.31
# - V (Å³ per cell) = 77.1
data_FeAgIN2
_chemical_formula_sum 'Fe1 Ag1 I1 N2'
_space_group_name_H-M_alt 'P 4/m m m'
_space_group_IT_number 123
_space_group_name_Hall '-P 4 2'
_cell_length_a 3.698
_cell_length_b 3.698
_cell_length_c 5.634
_cell_angle_alpha 90.00
_cell_angle_beta 90.00
_cell_angle_gamma 90.00
loop_
_atom_site_label
_atom_site_fract_x
_atom_site_fract_y
_atom_site_fract_z
_atom_site_occupancy
Fe1 0.000 0.000 0.000 1
Ag1 0.500 0.500 0.500 1
I1 0.000 0.000 0.500 1
N1 0.000 0.500 0.000 1


# FeAgSbI2, PBEsol geometry, DFT meta-GGA SCAN
# - uncorrected formation energy (eV per atom) = 0.92
# - E (eV per cell) = -155.65
# - V (Å³ per cell) = 160.7
data_FeAgSbI2
_chemical_formula_sum 'Fe1 Ag1 Sb1 I2'
_space_group_name_H-M_alt 'P 4/m m m'
_space_group_IT_number 123
_space_group_name_Hall '-P 4 2'
_cell_length_a 5.463
_cell_length_b 5.463
_cell_length_c 5.384
_cell_angle_alpha 90.00
_cell_angle_beta 90.00
_cell_angle_gamma 90.00
loop_
_atom_site_label
_atom_site_fract_x
_atom_site_fract_y
_atom_site_fract_z
_atom_site_occupancy
Fe1 0.000 0.000 0.000 1
Ag1 0.500 0.500 0.500 1
Sb1 0.500 0.500 0.000 1
I1 0.000 0.500 0.500 1


# InFeAg, PBEsol geometry, DFT meta-GGA SCAN
# - E above lowest polymorph (eV per atom) = 0.000
# - DFT formation energy (meV/atom) = 235.0
# - E (eV per cell) = -164.36
# - V (Å³ per cell) = 97.7
data_InFeAg
_chemical_formula_sum 'In2 Fe2 Ag2'
_space_group_name_H-M_alt 'I 4 m m'
_space_group_IT_number 107
_space_group_name_Hall 'I 4 -2'
_cell_length_a 2.915
_cell_length_b 2.915
_cell_length_c 11.495
_cell_angle_alpha 90.00
_cell_angle_beta 90.00
_cell_angle_gamma 90.00
loop_
_atom_site_label
_atom_site_fract_x
_atom_site_fract_y
_atom_site_fract_z
_atom_site_occupancy
In1 0.000 0.000 0.000 1
Fe1 0.000 0.000 0.660 1
Ag1 0.000 0.000 0.313 1


# InFeAg, PBEsol geometry, DFT meta-GGA SCAN
# - E above lowest polymorph (eV per atom) = 0.361
# - DFT formation energy (meV/atom) = 596.0
# - E (eV per cell) = -324.38
# - V (Å³ per cell) = 235.8
data_InFeAg
_chemical_formula_sum 'In4 Fe4 Ag4'
_space_group_name_H-M_alt 'F -4 3 m'
_space_group_IT_number 216
_space_group_name_Hall 'F -4 2 3'
_cell_length_a 6.178
_cell_length_b 6.178
_cell_length_c 6.178
_cell_angle_alpha 90.00
_cell_angle_beta 90.00
_cell_angle_gamma 90.00
loop_
_atom_site_label
_atom_site_fract_x
_atom_site_fract_y
_atom_site_fract_z
_atom_site_occupancy
In1 0.000 0.000 0.000 1
Fe1 0.250 0.250 0.750 1
Ag1 0.250 0.250 0.250 1


# InFe2AgRh, PBEsol geometry, DFT meta-GGA SCAN
# - DFT formation energy (meV/atom) = 890.0
# - E (eV per cell) = -130.33
# - V (Å³ per cell) = 102.3
data_InFe2AgRh
_chemical_formula_sum 'In1 Fe2 Ag1 Rh1'
_space_group_name_H-M_alt 'P 4/m m m'
_space_group_IT_number 123
_space_group_name_Hall '-P 4 2'
_cell_length_a 4.523
_cell_length_b 4.523
_cell_length_c 5.000
_cell_angle_alpha 90.00
_cell_angle_beta 90.00
_cell_angle_gamma 90.00
loop_
_atom_site_label
_atom_site_fract_x
_atom_site_fract_y
_atom_site_fract_z
_atom_site_occupancy
In1 0.000 0.000 0.000 1
Fe1 0.000 0.500 0.500 1
Ag1 0.500 0.500 0.000 1
Rh1 0.500 0.500 0.500 1


# InFeAg2Te, PBEsol geometry, DFT meta-GGA SCAN
# - uncorrected formation energy (eV per atom) = 1.09
# - E (eV per cell) = -146.07
# - V (Å³ per cell) = 141.8
data_InFeAg2Te
_chemical_formula_sum 'In1 Fe1 Ag2 Te1'
_space_group_name_H-M_alt 'P 4/m m m'
_space_group_IT_number 123
_space_group_name_Hall '-P 4 2'
_cell_length_a 4.995
_cell_length_b 4.995
_cell_length_c 5.681
_cell_angle_alpha 90.00
_cell_angle_beta 90.00
_cell_angle_gamma 90.00
loop_
_atom_site_label
_atom_site_fract_x
_atom_site_fract_y
_atom_site_fract_z
_atom_site_occupancy
In1 0.000 0.000 0.000 1
Fe1 0.500 0.500 0.500 1
Ag1 0.000 0.500 0.000 1
Te1 0.000 0.000 0.500 1


Calculated values (μB per atom) of total magnetization for the records, taken in order: 0.0005, 0.7743, 0.9589, 1.0160, 1.5301, 0.7400.
Calculated values (states/eV per cell) of DOS(E_F) for the records, taken in order: 3.64, 5.60, 3.54, 10.02, 4.14, 3.91.
Calculated values (g cm⁻³) of calculated density for the records, taken in order: 6.87, 5.57, 9.47, 7.85, 7.10, 6.02.